No. 1
VASP calculation (GGA-PBE) on a geometry-optimized Tm5AlHg3 structure.

POSCAR file:
```
Tm5AlHg3
1.0
-1.3872 -0.3196 -6.3773
8.7411 -0.4447 -1.8790
-4.6668 -7.5113 1.3916
Al Hg Tm
2 6 10
Cartesian
-0.6936 -0.1598 -3.1886
0.0000 0.0000 0.0000
0.5030 -3.2531 -4.9676
2.9643 -0.2484 -2.3061
4.3896 -0.5160 -5.9502
6.6265 -3.3695 -2.9462
2.1841 -5.0225 -1.8971
-3.9394 -4.9061 -3.9185
-3.6886 -5.4586 -0.5978
1.8771 -5.9368 -5.1320
-0.8911 -5.3156 -2.8873
3.5782 -2.9601 -3.9775
5.9127 -0.3984 -2.9399
0.8100 -2.3388 -1.7327
1.4413 -0.3660 -5.3164
6.3757 -2.8171 -6.2669
4.2718 -2.8003 -0.7888
-0.1975 -5.1557 0.3014
```

Results
volume	453	Å³ per cell
electronic total energy	-60.7	eV/cell
N(E_F)	15.31	states/eV per cell

---

No. 2
VASP calculation (GGA-PBE) on a geometry-optimized Tm4AlHg2 structure.

POSCAR file:
```
Tm4AlHg2
1.0
-3.6147 3.5667 0.0184
-3.6920 -0.1446 3.4837
2.4319 6.0459 6.5296
Tm Hg Al
4 2 1
Cartesian
-4.1643 6.5889 6.9639
-0.5385 6.6476 7.1078
-4.3363 2.8204 2.9240
-0.7105 2.8792 3.0678
0.9530 4.5555 4.9004
-5.8278 4.9125 5.1314
0.0000 0.0000 0.0000
```

Results
volume	195	Å³ per cell
electronic total energy	-23.4	eV/cell
energy relative to the lowest polymorph listed for this composition	109	meV/atom
N(E_F)	7.28	states/eV per cell

---

No. 3
VASP calculation (GGA-PBE) on a geometry-optimized Tm3AlHg2 structure.

POSCAR file:
```
Tm3AlHg2
1.0
-0.5828 3.4017 -1.1652
-2.5555 0.4386 2.5586
7.5517 3.6623 6.9148
Tm Al Hg
3 1 2
Cartesian
2.5653 1.2441 2.3490
4.9864 2.4182 4.5658
0.0000 0.0000 0.0000
2.2067 3.7513 4.1541
4.6898 4.9555 6.4277
-0.2764 2.5471 1.8805
```

Results
volume	144	Å³ per cell
electronic total energy	-20.4	eV/cell
energy relative to the lowest polymorph listed for this composition	0	meV/atom
N(E_F)	5.28	states/eV per cell

---

No. 4
VASP calculation (GGA-PBE) on a geometry-optimized Tm2Al3Hg structure.

POSCAR file:
```
Tm2Al3Hg
1.0
5.7287 -0.6865 0.0000
-0.9084 5.6977 0.0000
-2.4101 -2.5056 7.9369
Al Tm Hg
6 4 2
Cartesian
-1.6766 1.6127 6.6311
2.4101 2.5056 5.3294
0.0000 0.0000 2.6075
0.7335 4.1183 1.3058
4.0867 0.8929 1.3058
1.6766 -1.6127 6.6311
1.2038 1.2515 0.0000
-0.4542 2.8488 3.9685
2.8643 -0.3432 3.9685
3.6164 3.7597 0.0000
0.0000 0.0000 5.2862
2.4101 2.5056 2.6507
```

Results
volume	254	Å³ per cell
electronic total energy	-46.2	eV/cell
energy relative to the lowest polymorph listed for this composition	16	meV/atom
N(E_F)	6.87	states/eV per cell

---

No. 5
VASP calculation (GGA-PBE) on a geometry-optimized Tm2AlHg8 structure.

POSCAR file:
```
Tm2AlHg8
1.0
4.5626 0.0000 0.0000
0.0000 4.5626 0.0000
0.0000 0.0000 12.5082
Hg Tm Al
8 2 1
Cartesian
0.0000 2.2813 6.2541
2.2813 2.2813 8.6020
0.0000 2.2813 1.6378
2.2813 0.0000 10.8703
2.2813 0.0000 1.6378
2.2813 0.0000 6.2541
0.0000 2.2813 10.8703
2.2813 2.2813 3.9061
0.0000 0.0000 3.8771
0.0000 0.0000 8.6310
0.0000 0.0000 0.0000
```

Results
volume	260	Å³ per cell
electronic total energy	-17.4	eV/cell
N(E_F)	4.59	states/eV per cell

---

No. 6
VASP calculation (GGA-PBE) on a geometry-optimized TmAlHg2 structure.

POSCAR file:
```
TmAlHg2
1.0
4.5227 0.0000 0.0000
2.2614 3.9168 0.0000
2.2614 1.3056 5.1573
Hg Al Tm
2 1 1
Cartesian
6.7841 3.9168 3.5834
2.2614 1.3056 1.5739
4.5227 2.6112 2.5786
0.0000 0.0000 0.0000
```

Results
volume	91	Å³ per cell
electronic total energy	-9.8	eV/cell
N(E_F)	1.61	states/eV per cell

---

No. 7
VASP calculation (GGA-PBE) on a geometry-optimized Tm2AlHg structure.

POSCAR file:
```
Tm2AlHg
1.0
3.5763 0.0000 0.0000
0.0000 3.5763 0.0000
0.0000 0.0000 7.4132
Hg Tm Al
1 2 1
Cartesian
1.7881 1.7881 3.7066
0.0000 0.0000 5.6300
0.0000 0.0000 1.7832
1.7881 1.7881 0.0000
```

Results
volume	95	Å³ per cell
electronic total energy	-14.7	eV/cell
energy relative to the lowest polymorph listed for this composition	0	meV/atom
N(E_F)	2.73	states/eV per cell

---

No. 8
VASP calculation (GGA-PBE) on a geometry-optimized Tm3Al2Hg3 structure.

POSCAR file:
```
Tm3Al2Hg3
1.0
4.5089 0.0000 0.0000
-2.2545 5.4975 0.0000
0.0000 0.0000 14.9196
Al Tm Hg
4 6 6
Cartesian
2.2545 3.2168 13.2902
2.2545 3.2168 9.0893
0.0000 2.2807 5.8304
0.0000 2.2807 1.6294
2.2544 4.6077 1.6694
2.2544 4.6077 5.7904
0.0000 0.8898 13.2502
2.2545 1.5299 3.7299
0.0000 0.8898 9.1293
0.0000 3.9676 11.1897
2.2545 1.5041 11.1897
0.0000 4.1430 8.0138
2.2545 1.3545 6.9059
0.0000 3.9934 3.7299
2.2545 1.3545 0.5540
0.0000 4.1430 14.3657
```

Results
volume	370	Å³ per cell
electronic total energy	-50.0	eV/cell
N(E_F)	9.44	states/eV per cell

---

No. 9
VASP calculation (GGA-PBE) on a geometry-optimized Tm3Al3Hg structure.

POSCAR file:
```
Tm3Al3Hg
1.0
-3.9848 0.7797 -1.9094
-0.2381 -1.8984 -5.5501
-6.1059 -11.8805 2.6193
Tm Al Hg
6 6 2
Cartesian
-7.8883 -10.1480 -3.4973
-4.3345 -5.4023 -3.7039
-3.0465 -1.8133 -4.9263
-7.2823 -11.1858 0.0861
-2.4405 -2.8512 -1.3429
-5.9943 -7.5969 -1.1363
-4.8542 -9.5072 0.9762
-6.9828 -7.1409 -4.1591
-5.4746 -3.4919 -5.8165
-3.3460 -5.8582 -0.6812
-4.0257 -0.4522 -2.3269
-6.3031 -12.5470 -2.5133
-5.4058 -4.2071 -0.9803
-4.9230 -8.7921 -3.8600
```

Results
volume	326	Å³ per cell
electronic total energy	-55.5	eV/cell
N(E_F)	9.63	states/eV per cell

---

No. 10
VASP calculation (GGA-PBE) on a geometry-optimized TmAlHg structure.

POSCAR file:
```
TmAlHg
1.0
-0.4133 3.5056 0.1839
-4.0646 -0.3645 -2.1857
0.1714 -0.2223 4.6209
Al Hg Tm
1 1 1
Cartesian
-0.0689 0.5846 0.0307
-1.3095 0.3146 2.3827
-2.9281 2.0197 0.2058
```

Results
volume	66	Å³ per cell
electronic total energy	-9.8	eV/cell
energy relative to the lowest polymorph listed for this composition	0	meV/atom
N(E_F)	1.10	states/eV per cell

---

No. 11
VASP calculation (GGA-PBE) on a geometry-optimized YTmAlHg structure.

POSCAR file:
```
YTmAlHg
1.0
5.1761 0.0000 0.0000
2.5881 4.4826 0.0000
2.5881 1.4942 4.2263
Al Tm Hg Y
1 1 1 1
Cartesian
0.0000 0.0000 0.0000
2.5881 1.4942 1.0566
5.1761 2.9884 2.1131
7.7642 4.4826 3.1697
```

Results
volume	98	Å³ per cell
electronic total energy	-16.6	eV/cell
energy relative to the lowest polymorph listed for this composition	33	meV/atom
N(E_F)	4.29	states/eV per cell

---

No. 12
VASP calculation (GGA-PBE) on a geometry-optimized YTmAlHg structure.

POSCAR file:
```
YTmAlHg
1.0
3.6105 0.0000 0.0000
0.0000 3.6105 0.0000
0.0000 0.0000 7.4337
Al Hg Tm Y
1 1 1 1
Cartesian
0.0000 0.0000 6.4129
0.0000 0.0000 2.5825
1.8052 1.8052 0.7440
1.8052 1.8052 4.5925
```

Results
volume	97	Å³ per cell
electronic total energy	-16.8	eV/cell
energy relative to the lowest polymorph listed for this composition	0	meV/atom
N(E_F)	2.68	states/eV per cell

---

> electronic total energy of number 4 (Tm2Al3Hg)?

-46.2 eV/cell

---

Repeat the seventh record exactly.
VASP calculation (GGA-PBE) on a geometry-optimized Tm2AlHg structure.

POSCAR file:
```
Tm2AlHg
1.0
3.5763 0.0000 0.0000
0.0000 3.5763 0.0000
0.0000 0.0000 7.4132
Hg Tm Al
1 2 1
Cartesian
1.7881 1.7881 3.7066
0.0000 0.0000 5.6300
0.0000 0.0000 1.7832
1.7881 1.7881 0.0000
```

Results
volume	95	Å³ per cell
electronic total energy	-14.7	eV/cell
energy relative to the lowest polymorph listed for this composition	0	meV/atom
N(E_F)	2.73	states/eV per cell

---

> Among the records above, which one has the lowest volume?

TmAlHg